{"formula": "Sr2GdAs", "functional": "PBE", "state": "relaxed", "lattice": [[2.1454, 1.2387, 11.2686], [-2.1454, 1.2387, 11.2686], [0.0000, -2.4773, 11.2686]], "species": ["Sr", "Sr", "Gd", "As"], "fractional_positions": [[0.1166, 0.1166, 0.1166], [0.8834, 0.8834, 0.8834], [0.0000, 0.0000, 0.0000], [0.5000, 0.5000, 0.5000]], "magnetic_moment_mub_per_atom": 2.2006, "dos_ef_per_ev_cell": 7.11, "vol_a3_per_atom": 44.9, "formation_enthalpy_0k_mev_per_atom": -274, "total_energy_ev_per_fu": -23.2, "space_group": "R-3m, No. 166"}

{"formula": "InRh3Br", "functional": "PBE", "state": "relaxed", "lattice": [[4.9855, 0.0000, 0.0000], [0.0000, 4.9855, 0.0000], [0.0000, 0.0000, 4.9855]], "species": ["In", "Rh", "Rh", "Rh", "Br"], "fractional_positions": [[0.0000, 0.0000, 0.0000], [0.0000, 0.0000, 0.5000], [0.0000, 0.5000, 0.0000], [0.5000, 0.0000, 0.0000], [0.5000, 0.5000, 0.5000]], "magnetic_moment_mub_per_atom": 0.6000, "raw_formation_energy_mev_per_atom": 1351, "relative_energy_mev_per_atom": 598.3, "dos_ef_per_ev_cell": 13.37, "vol_a3_per_atom": 24.8, "total_energy_ev_per_fu": -19.7, "space_group": "Pm-3m, No. 221"}

{"formula": "ThAs2Rh", "functional": "PBE", "state": "relaxed", "lattice": [[2.1780, 1.2574, 7.7108], [-2.1780, 1.2574, 7.7108], [0.0000, -2.5149, 7.7108]], "species": ["Th", "As", "As", "Rh"], "fractional_positions": [[0.0000, 0.0000, 0.0000], [0.3989, 0.3989, 0.3989], [0.6011, 0.6011, 0.6011], [0.5000, 0.5000, 0.5000]], "magnetic_moment_mub_per_atom": 0.0196, "dos_ef_per_ev_cell": 7.05, "vol_a3_per_atom": 31.7, "formation_enthalpy_0k_mev_per_atom": 132, "total_energy_ev_per_fu": -23.5, "space_group": "R-3m, No. 166"}

{"formula": "NiTe2As", "functional": "PBE", "state": "relaxed", "lattice": [[0.0000, 3.4958, 3.4958], [3.4958, 0.0000, 3.4958], [3.4958, 3.4958, 0.0000]], "species": ["Ni", "Te", "Te", "As"], "fractional_positions": [[0.0000, 0.0000, 0.0000], [0.2500, 0.2500, 0.2500], [0.5000, 0.5000, 0.5000], [0.7500, 0.7500, 0.7500]], "magnetic_moment_mub_per_atom": 0.0023, "raw_formation_energy_mev_per_atom": 612, "dos_ef_per_ev_cell": 4.56, "vol_a3_per_atom": 21.4, "total_energy_ev_per_fu": -14.3, "space_group": "F-43m, No. 216"}

{"formula": "Zr4Sc", "functional": "PBE", "state": "relaxed", "lattice": [[5.7340, 0.0000, 0.0000], [0.0000, 5.3854, 0.0000], [-3.4280, 0.0000, 7.5841]], "species": ["Zr", "Zr", "Zr", "Zr", "Zr", "Zr", "Zr", "Zr", "Sc", "Sc"], "fractional_positions": [[0.0986, 0.0612, 0.2030], [0.0986, 0.4388, 0.7030], [0.2826, 0.5529, 0.1015], [0.2826, 0.9471, 0.6015], [0.7174, 0.0529, 0.3985], [0.7174, 0.4471, 0.8985], [0.9014, 0.5612, 0.2970], [0.9014, 0.9388, 0.7970], [0.5000, 0.0000, 0.0000], [0.5000, 0.5000, 0.5000]], "magnetic_moment_mub_per_atom": 0.0000, "relative_energy_mev_per_atom": 51.8, "dos_ef_per_ev_cell": 13.78, "vol_a3_per_atom": 23.4, "formation_enthalpy_0k_mev_per_atom": 72, "total_energy_ev_per_fu": -40.2, "space_group": "P2_1/c, No. 14"}

{"formula": "LaEr3Th4S8", "functional": "PBE", "state": "relaxed", "lattice": [[3.9268, 2.2671, 6.7317], [-3.9268, 2.2671, 6.7317], [0.0000, -4.5343, 6.7317]], "species": ["La", "Er", "Er", "Er", "Th", "Th", "Th", "Th", "S", "S", "S", "S", "S", "S", "S", "S"], "fractional_positions": [[0.0000, 0.0000, 0.0000], [0.0000, 0.5000, 0.5000], [0.5000, 0.0000, 0.5000], [0.5000, 0.5000, 0.0000], [0.0000, 0.0000, 0.5000], [0.0000, 0.5000, 0.0000], [0.5000, 0.0000, 0.0000], [0.5000, 0.5000, 0.5000], [0.2512, 0.2512, 0.7350], [0.2512, 0.7350, 0.2512], [0.2564, 0.2564, 0.2564], [0.2650, 0.7488, 0.7488], [0.7350, 0.2512, 0.2512], [0.7436, 0.7436, 0.7436], [0.7488, 0.2650, 0.7488], [0.7488, 0.7488, 0.2650]], "magnetic_moment_mub_per_atom": 0.0000, "raw_formation_energy_mev_per_atom": -1912, "dos_ef_per_ev_cell": 5.06, "vol_a3_per_atom": 22.5, "total_energy_ev_per_fu": -111.9, "space_group": "R-3m, No. 166"}

{"formula": "DyEr4MgS8", "functional": "PBE", "state": "relaxed", "lattice": [[3.9586, 2.2855, 6.4723], [-3.9586, 2.2855, 6.4723], [0.0000, -4.5710, 6.4723]], "species": ["Dy", "Er", "Er", "Er", "Er", "Mg", "S", "S", "S", "S", "S", "S", "S", "S"], "fractional_positions": [[0.0000, 0.0000, 0.0000], [0.9999, 0.9999, 0.5107], [0.9999, 0.5107, 0.9999], [0.3775, 0.3775, 0.3775], [0.5107, 0.9999, 0.9999], [0.6275, 0.6275, 0.6275], [0.2403, 0.7556, 0.7556], [0.2442, 0.2442, 0.2442], [0.2458, 0.2458, 0.7768], [0.2458, 0.7768, 0.2458], [0.7556, 0.2403, 0.7556], [0.7556, 0.7556, 0.2403], [0.7569, 0.7569, 0.7569], [0.7768, 0.2458, 0.2458]], "magnetic_moment_mub_per_atom": 0.0000, "raw_formation_energy_mev_per_atom": -1919, "dos_ef_per_ev_cell": 3.13, "vol_a3_per_atom": 25.1, "total_energy_ev_per_fu": -84.3, "space_group": "R3m, No. 160"}

{"formula": "DyCd2Hg", "functional": "PBE", "state": "relaxed", "lattice": [[-2.5428, 2.5428, 3.5878], [2.5428, -2.5428, 3.5878], [2.5428, 2.5428, -3.5878]], "species": ["Dy", "Cd", "Cd", "Hg"], "fractional_positions": [[0.0000, 0.0000, 0.0000], [0.5000, 0.5000, 0.0000], [0.7500, 0.2500, 0.5000], [0.2500, 0.7500, 0.5000]], "magnetic_moment_mub_per_atom": 0.0000, "relative_energy_mev_per_atom": 0.0, "dos_ef_per_ev_cell": 1.81, "vol_a3_per_atom": 23.2, "formation_enthalpy_0k_mev_per_atom": -310, "total_energy_ev_per_fu": -8.0, "space_group": "I-4m2, No. 119"}

{"formula": "CeHo2PuP4", "functional": "PBE", "state": "relaxed", "lattice": [[6.9438, 0.0000, 0.0000], [0.0000, 4.0194, 0.0000], [-2.3327, 0.0000, 6.5510]], "species": ["Ce", "Ho", "Ho", "Pu", "P", "P", "P", "P"], "fractional_positions": [[0.0000, 0.0000, 0.0000], [0.5000, 0.0000, 0.5000], [0.5000, 0.5000, 0.0000], [0.0000, 0.5000, 0.5000], [0.2495, 0.0000, 0.7470], [0.2523, 0.5000, 0.2524], [0.7477, 0.5000, 0.7476], [0.7505, 0.0000, 0.2530]], "magnetic_moment_mub_per_atom": 0.6950, "dos_ef_per_ev_cell": 13.51, "vol_a3_per_atom": 22.9, "formation_enthalpy_0k_mev_per_atom": -1469, "total_energy_ev_per_fu": -62.8, "space_group": "P2/m, No. 10"}

{"formula": "CeMg2Tl2", "functional": "PBE", "state": "relaxed", "lattice": [[4.2307, -2.4459, 0.0000], [4.2307, 2.4459, 0.0000], [-2.8088, 0.0000, 6.4314]], "species": ["Ce", "Mg", "Mg", "Tl", "Tl"], "fractional_positions": [[0.0000, 0.0000, 0.0000], [0.2041, 0.2041, 0.6119], [0.7959, 0.7959, 0.3881], [0.4141, 0.4141, 0.2431], [0.5859, 0.5859, 0.7569]], "magnetic_moment_mub_per_atom": 0.1672, "relative_energy_mev_per_atom": 0.0, "dos_ef_per_ev_cell": 8.28, "vol_a3_per_atom": 26.6, "formation_enthalpy_0k_mev_per_atom": -132, "total_energy_ev_per_fu": -14.5, "space_group": "C2/m, No. 12"}

{"formula": "TlCdSbPb", "functional": "PBE", "state": "relaxed", "lattice": [[0.0000, 3.9007, 3.9007], [3.9007, 0.0000, 3.9007], [3.9007, 3.9007, 0.0000]], "species": ["Tl", "Cd", "Sb", "Pb"], "fractional_positions": [[0.0000, 0.0000, 0.0000], [0.2500, 0.2500, 0.2500], [0.7500, 0.7500, 0.7500], [0.5000, 0.5000, 0.5000]], "magnetic_moment_mub_per_atom": 0.0000, "raw_formation_energy_mev_per_atom": 95, "relative_energy_mev_per_atom": 51.4, "dos_ef_per_ev_cell": 4.20, "vol_a3_per_atom": 29.7, "total_energy_ev_per_fu": -10.7, "space_group": "F-43m, No. 216"}

{"formula": "ScBe3Al", "functional": "PBE", "state": "relaxed", "lattice": [[4.6319, 0.0000, 0.0000], [0.0000, 4.6319, 0.0000], [0.0000, 0.0000, 4.6319]], "species": ["Sc", "Be", "Be", "Be", "Al"], "fractional_positions": [[0.0000, 0.0000, 0.0000], [0.0000, 0.0000, 0.5000], [0.0000, 0.5000, 0.0000], [0.5000, 0.0000, 0.0000], [0.5000, 0.5000, 0.5000]], "magnetic_moment_mub_per_atom": 0.1966, "relative_energy_mev_per_atom": 1122.2, "dos_ef_per_ev_cell": 3.56, "vol_a3_per_atom": 19.9, "formation_enthalpy_0k_mev_per_atom": 1745, "total_energy_ev_per_fu": -12.5, "space_group": "Pm-3m, No. 221"}